BaB3H12 | PBE-GGA | optimized geometry

## Properties
E_tot (eV per atom): -4.0046

```
BaB3H12
1.0
7.040 0.000 3.400
2.699 6.502 3.400
0.558 0.372 7.834
H B Ba
24 6 2
Cartesian
2.996 2.987 4.988
2.630 1.460 8.903
7.745 1.622 6.841
6.420 6.425 11.472
3.148 2.601 6.959
9.784 6.539 11.087
6.917 3.466 10.758
8.476 3.362 9.431
8.200 4.975 6.442
6.948 4.934 8.386
4.961 5.166 8.662
3.447 4.495 10.276
6.350 6.529 9.426
8.246 3.102 5.513
6.104 1.729 4.383
3.023 4.525 6.359
4.642 3.092 3.770
9.057 5.059 12.305
5.781 1.057 6.573
6.387 1.910 8.300
6.016 6.427 5.508
5.642 1.869 10.490
5.946 6.531 7.554
4.224 5.666 4.745
6.691 1.171 7.368
5.160 6.448 4.608
8.740 4.236 5.624
5.538 2.294 3.451
2.672 3.383 6.141
6.042 5.731 8.525
1.084 0.724 6.744
5.675 3.789 6.227
```

---

Ba2BH5 | PBE-GGA | optimized geometry

## Properties
E_tot (eV per atom): -3.5464

```
Ba2BH5
1.0
5.420 -0.004 -0.004
-0.004 5.420 -0.004
-2.710 -2.710 3.807
H B Ba
5 1 2
Cartesian
1.001 4.415 0.014
4.415 1.001 0.014
4.413 4.413 0.016
2.704 2.704 2.398
1.001 1.001 0.020
2.706 2.706 3.703
-0.002 2.711 1.761
2.711 -0.002 1.761
```